Entry from Alexandria: a relaxed LiAl2Te4Au crystal (PBE).

Cell: 8.594 7.797 7.305 Å, 90.00 90.00 90.00°
Atoms (fractional coordinates):
Li 0.000 0.170 0.000
Li 0.500 0.830 0.500
Al 0.248 0.343 0.486
Al 0.252 0.657 0.986
Al 0.748 0.657 0.986
Al 0.752 0.343 0.486
Te 0.000 0.163 0.377
Te 0.000 0.833 0.879
Te 0.245 0.344 0.851
Te 0.255 0.656 0.351
Te 0.500 0.167 0.379
Te 0.500 0.837 0.877
Te 0.745 0.656 0.351
Te 0.755 0.344 0.851
Au 0.000 0.815 0.507
Au 0.500 0.185 0.007

Output
The symmetry is Pmn2_1, No. 31. For the final energy, the calculation gives -0.134 hartree per atom. The calculation puts the uncorrected formation energy at -378 kJ/mol of formula units.